The following is a DFT calculation (PBE) of a relaxed ZrNbPbO6 crystal.

```
ZrNbPbO6
1.0
5.4981 0.0000 0.0000
-2.7490 4.7615 0.0000
0.0000 0.0000 9.8564
Zr Nb Pb O
2 2 2 12
direct
0.3333 0.6667 0.2500
0.6667 0.3333 0.7500
0.3333 0.6667 0.7500
0.6667 0.3333 0.2500
0.0000 0.0000 0.0000
0.0000 0.0000 0.5000
0.0131 0.3704 0.6388
0.0131 0.6428 0.8612
0.3572 0.3704 0.8612
0.3572 0.9869 0.6388
0.3704 0.0131 0.1388
0.3704 0.3572 0.3612
0.6296 0.6428 0.6388
0.6296 0.9869 0.8612
0.6428 0.0131 0.3612
0.6428 0.6296 0.1388
0.9869 0.3572 0.1388
0.9869 0.6296 0.3612
```

Values from the calculation:
E_tot	-8.091	eV per atom
N(E_F)	0.435	states/eV per atom
size of the total moment	0.000	μB/atom
crystal system	trigonal